No. 1
Entry from the Alexandria database: Be2Rh after structural relaxation (PBE).

```
12
Lattice="4.6203 0.0000 0.0000 0.0000 3.5997 0.0000 0.0000 0.0000 7.1645" Properties=species:S:1:pos:R:3 pbc="T T T"
Be 0.6285 0.8999 0.1828
Be 0.9147 0.8999 4.9457
Be 1.3954 2.6998 1.3634
Be 1.6816 2.6998 3.7651
Be 2.9386 0.8999 3.3994
Be 3.2248 0.8999 5.8011
Be 3.7055 2.6998 2.2188
Be 3.9918 2.6998 6.9817
Rh 0.6281 0.8999 2.6215
Rh 1.6821 2.6998 6.2037
Rh 2.9382 0.8999 0.9608
Rh 3.9922 2.6998 4.5430
```

Values from the calculation:
- Formation energy: -0.573 eV per atom

No. 2
Entry from the Alexandria database: NpAs after structural relaxation (PBE).

```
8
Lattice="7.3492 0.0000 0.0000 0.0000 4.0036 0.0000 0.0000 0.0000 5.4629" Properties=species:S:1:pos:R:3 pbc="T T T"
Np 0.2537 1.0009 0.6610
Np 3.4209 3.0027 3.3925
Np 3.9283 1.0009 2.0704
Np 7.0955 3.0027 4.8018
As 1.3007 1.0009 3.3972
As 2.3739 3.0027 0.6658
As 4.9753 1.0009 4.7971
As 6.0485 3.0027 2.0656
```

Values from the calculation:
- Formation energy: -0.474 eV per atom

No. 3
Entry from the Alexandria database: AlAs2OsSe after structural relaxation (PBE).

```
5
Lattice="4.6638 0.0000 0.0000 0.0000 4.6638 0.0000 0.0000 0.0000 4.7310" Properties=species:S:1:pos:R:3 pbc="T T T"
Al 0.0000 0.0000 0.0000
As 0.0000 2.3319 0.0000
As 2.3319 0.0000 0.0000
Os 2.3319 2.3319 2.3655
Se 0.0000 0.0000 2.3655
```

Values from the calculation:
- Raw formation energy: 6.43 eV/f.u.

No. 4
Entry from the Alexandria database: TcAs2W after structural relaxation (PBE).

```
16
Lattice="6.3483 0.0000 0.0000 0.0000 6.3483 0.0000 0.0000 0.0000 6.3483" Properties=species:S:1:pos:R:3 pbc="T T T"
Tc 0.0000 0.0000 0.0000
Tc 0.0000 3.1742 3.1742
Tc 3.1742 0.0000 3.1742
Tc 3.1742 3.1742 0.0000
As 0.0000 0.0000 3.1742
As 0.0000 3.1742 0.0000
As 1.5871 1.5871 4.7612
As 1.5871 4.7612 1.5871
As 3.1742 0.0000 0.0000
As 3.1742 3.1742 3.1742
As 4.7612 1.5871 1.5871
As 4.7612 4.7612 4.7612
W 1.5871 1.5871 1.5871
W 1.5871 4.7612 4.7612
W 4.7612 1.5871 4.7612
W 4.7612 4.7612 1.5871
```

Values from the calculation:
- Formation energy: 0.536 eV per atom